Here is a relaxed structure of Ba2CdNi3F12 from the Alexandria database. Energies are from GGA+U.

Cell lengths 7.0909, 7.0909, 7.0909 Å; angles 61.62, 61.62, 61.62 degrees
Each line ends with the local moment (μB).
Fractional positions:
F: 0.2851 0.2851 0.8668  0.05
F: 0.2851 0.8668 0.2851  0.05
F: 0.1332 0.7149 0.7149  0.05
F: 0.8667 0.4086 0.8667  0.03
F: 0.4086 0.8667 0.8667  0.03
F: 0.1333 0.1333 0.5914  0.03
F: 0.5914 0.1333 0.1333  0.03
F: 0.8667 0.8667 0.4086  0.03
F: 0.7149 0.1332 0.7149  0.05
F: 0.8668 0.2851 0.2851  0.05
F: 0.1333 0.5914 0.1333  0.03
F: 0.7149 0.7149 0.1332  0.05
Cd: 0.0000 0.0000 0.0000  0.00
Ni: 0.5000 0.0000 0.0000  1.83
Ni: 0.0000 0.0000 0.5000  1.83
Ni: 0.0000 0.5000 0.0000  1.83
Ba: 0.3876 0.3876 0.3876  0.00
Ba: 0.6124 0.6124 0.6124  0.00

Computed properties:
Volume (Å³ per atom): 14.52
Magnetization (μB/atom): 0.333
Space-group type: R-3m, No. 166
ρ (g/cm³): 5.0
Calculated total energy (eV/atom): -4.614